(1)
## TbDy8Ho5 (PBE)

Data for a geometry-optimized TbDy8Ho5 structure.

Cell lengths 8.4067, 8.4067, 8.4067 Å; angles 111.13, 111.13, 106.20 degrees
Fractional positions:
Tb 0.0000 0.0000 0.0000
Dy 0.0914 0.6763 0.7620
Dy 0.2767 0.5232 0.1056
Dy 0.3237 0.0858 0.4151
Dy 0.4175 0.1711 0.8944
Dy 0.4768 0.5825 0.7535
Dy 0.6707 0.9086 0.5849
Dy 0.8289 0.7233 0.2465
Dy 0.9142 0.3293 0.2380
Ho 0.0341 0.2138 0.5986
Ho 0.2500 0.7500 0.5000
Ho 0.5646 0.9659 0.1797
Ho 0.6152 0.4354 0.4014
Ho 0.7862 0.3848 0.8203

Computed properties:
**Symmetry**: I-4 (82)
**N(E_F)**: 1.52 states/eV per atom
**Energy relative to the elements**: 255 meV per atom
**Theoretical density**: 8.31 g cm⁻³
**Total magnetization**: 0.00 μB per formula unit

=====

(2)
## Tb5Dy2Ho12 (PBE)

Data for a geometry-optimized Tb5Dy2Ho12 structure.

Cell lengths 8.9759, 8.9759, 8.5374 Å; angles 91.91, 91.91, 61.61 degrees
Fractional positions:
Tb 0.0000 0.0000 0.0000
Tb 0.2308 0.2308 0.0714
Tb 0.2934 0.2934 0.4778
Tb 0.7066 0.7066 0.5222
Tb 0.7692 0.7692 0.9286
Dy 0.3275 0.6725 0.5000
Dy 0.6725 0.3275 0.5000
Ho 0.0307 0.6716 0.2602
Ho 0.0737 0.0737 0.3733
Ho 0.1782 0.5616 0.8304
Ho 0.3284 0.9693 0.7398
Ho 0.4384 0.8218 0.1696
Ho 0.4431 0.4431 0.1635
Ho 0.5569 0.5569 0.8365
Ho 0.5616 0.1782 0.8304
Ho 0.6716 0.0307 0.2602
Ho 0.8218 0.4384 0.1696
Ho 0.9263 0.9263 0.6267
Ho 0.9693 0.3284 0.7398

Computed properties:
**Symmetry**: C2/m (12)
**N(E_F)**: 1.36 states/eV per atom
**Energy relative to the elements**: 126 meV per atom
**Theoretical density**: 8.51 g cm⁻³
**Total magnetization**: 0.00 μB per formula unit

=====

(3)
## TbDy5Ho8 (PBE)

Data for a geometry-optimized TbDy5Ho8 structure.

Cell lengths 8.3676, 8.3676, 8.3676 Å; angles 111.07, 111.07, 106.31 degrees
Fractional positions:
Tb 0.0000 0.0000 0.0000
Dy 0.2145 0.0365 0.5997
Dy 0.3852 0.7855 0.8220
Dy 0.4368 0.6148 0.4003
Dy 0.7500 0.2500 0.5000
Dy 0.9635 0.5632 0.1780
Ho 0.0857 0.3239 0.4144
Ho 0.1701 0.4169 0.8945
Ho 0.3288 0.9143 0.2382
Ho 0.5224 0.2756 0.1055
Ho 0.5831 0.4776 0.7532
Ho 0.6761 0.0906 0.7618
Ho 0.7244 0.8299 0.2468
Ho 0.9094 0.6712 0.5856

Computed properties:
**Symmetry**: I-4 (82)
**N(E_F)**: 1.48 states/eV per atom
**Energy relative to the elements**: 254 meV per atom
**Theoretical density**: 8.45 g cm⁻³
**Total magnetization**: 0.00 μB per formula unit

=====

What is the N(E_F) in the second record? 1.36 states/eV per atom